## Y3TmBi3 (PBE)

Data for a relaxed structure of Y3TmBi3.

abc: 9.0657 9.0657 18.8841
angles: 90.00 90.00 120.00
Space group R-3 (No. 148, hexagonal axes)
One atom of each set of equivalent atoms:
Y 0.0010 0.2555 0.0820 [18 per cell]
Tm 0.0000 0.0000 0.3332 [6 per cell]
Bi 0.0017 0.3935 0.9160 [18 per cell]

Magnetic moment = 0.000 μB per atom
Raw total energy = -5.740 eV per atom